Entry from Alexandria via LeMat-Bulk: crystalline Na2BSb at its relaxed geometry (GGA-PBEsol).

Values from the calculation:
For the total magnetization, the calculation gives 0.00 μB/f.u. Its density is 3.55 g cm⁻³. For the volume, the calculation gives 20.9 Å³ per atom. The total energy is -2.8582 eV per atom. The calculation puts the formation energy (no corrections) at 0.7351 eV per atom.

Cell lengths 4.905, 4.905, 4.905 Å; angles 60.00, 60.00, 60.00 degrees
Atoms (fractional coordinates):
Sb 0.500 0.500 0.500
B 0.000 0.000 0.000
Na 0.250 0.250 0.250
Na 0.750 0.750 0.750